Entry 1:
A relaxed structure of NiAg2. Source: Alexandria, functional PBE.

Properties
Total magnetization: 0.45 μB/f.u.
Calculated volume: 15.78 Å³/atom
Formation enthalpy at 0 K: 0.22 eV/atom

Lattice parameters (Å, degrees): 5.3021 5.3021 6.8233 73.13 73.13 31.16
Last column: nearest neighbours and their distance in Å.
Element x y z (fractional)
Ag: 0.6333 0.6333 0.2489  4 Ni 2.82-3.10, 8 Ag 2.83-3.00
Ag: 0.9802 0.9802 0.0100  4 Ni 2.71-3.00, 8 Ag 2.80-2.94
Ag: 0.3426 0.3426 0.3670  2 Ni 2.69, 9 Ag 2.80-2.88
Ag: 0.6520 0.6520 0.6793  5 Ni 2.72-2.83, 7 Ag 2.80-3.00
Ni: 0.9374 0.9374 0.6292  2 Ni 2.46, 4 Ag 2.69-2.72
Ni: 0.2879 0.2879 0.8990  2 Ni 2.46, 4 Ag 2.71-2.73



Entry 2:
A relaxed structure of NiAg. Source: Alexandria, functional PBE.

Properties
Total magnetization: 0.30 μB/f.u.
Calculated volume: 14.50 Å³/atom
Formation enthalpy at 0 K: 0.30 eV/atom

Lattice parameters (Å, degrees): 2.7207 4.4395 4.8019 90.00 90.00 90.00
Last column: nearest neighbours and their distance in Å.
Element x y z (fractional)
Ni: 0.5000 0.0000 0.4902  6 Ag 2.65-2.87, 6 Ni 2.70-2.72
Ni: 0.0000 0.5000 0.3431  6 Ag 2.65-2.87, 6 Ni 2.70-2.72
Ag: 0.0000 0.0000 0.0176  6 Ni 2.65-2.87, 6 Ag 2.72-2.78
Ag: 0.5000 0.5000 0.8157  6 Ni 2.65-2.87, 6 Ag 2.72-2.78



Entry 3:
A relaxed structure of NiAg2. Source: Alexandria, functional PBE.

Properties
Total magnetization: 0.26 μB/f.u.
Calculated volume: 15.63 Å³/atom
Formation enthalpy at 0 K: 0.22 eV/atom

Lattice parameters (Å, degrees): 2.8176 2.8176 6.8206 90.00 90.00 120.00
Last column: nearest neighbours and their distance in Å.
Element x y z (fractional)
Ni: 0.6667 0.3333 0.3333  6 Ag 2.71, 6 Ni 2.82
Ag: 0.3333 0.6667 0.6508  3 Ni 2.71, 9 Ag 2.82-2.97
Ag: 0.0000 0.0000 0.0158  3 Ni 2.71, 9 Ag 2.82-2.97



Entry 4:
A relaxed structure of Ni3Ag. Source: Alexandria, functional PBE.

Properties
Total magnetization: 1.36 μB/f.u.
Calculated volume: 12.73 Å³/atom
Formation enthalpy at 0 K: 0.32 eV/atom

Lattice parameters (Å, degrees): 4.1602 4.1602 2.9419 90.00 90.00 90.00
Last column: nearest neighbours and their distance in Å.
Element x y z (fractional)
Ni: 0.5000 0.0000 0.5000  4 Ni 2.55, 4 Ag 2.55
Ni: 0.0000 0.5000 0.5000  4 Ni 2.55, 4 Ag 2.55
Ni: 0.5000 0.5000 0.0000  8 Ni 2.55
Ag: 0.0000 0.0000 0.0000  8 Ni 2.55



Entry 5:
A relaxed structure of NiAg. Source: Alexandria, functional PBE.

Properties
Total magnetization: 0.20 μB/f.u.
Calculated volume: 15.34 Å³/atom
Formation enthalpy at 0 K: 0.33 eV/atom

Lattice parameters (Å, degrees): 4.1049 4.1049 8.4082 90.00 90.00 120.00
Last column: nearest neighbours and their distance in Å.
Element x y z (fractional)
Ag: 0.3333 0.6667 0.9156  7 Ni 2.75-2.81, 4 Ag 2.76-2.79
Ag: 0.6667 0.3333 0.0844  7 Ni 2.75-2.81, 4 Ag 2.76-2.79
Ag: 0.6667 0.3333 0.4156  7 Ni 2.75-2.81, 4 Ag 2.76-2.79
Ag: 0.3333 0.6667 0.5844  7 Ni 2.75-2.81, 4 Ag 2.76-2.79
Ni: 0.6667 0.3333 0.7500  3 Ni 2.37
Ni: 0.3333 0.6667 0.2500  3 Ni 2.37
Ni: 0.0000 0.0000 0.2500  3 Ni 2.37
Ni: 0.0000 0.0000 0.7500  3 Ni 2.37



Entry 6:
A relaxed structure of NiAg. Source: Alexandria, functional PBE.

Properties
Total magnetization: 0.46 μB/f.u.
Calculated volume: 14.53 Å³/atom
Formation enthalpy at 0 K: 0.29 eV/atom

Lattice parameters (Å, degrees): 2.7410 5.2767 4.1604 90.00 90.00 74.95
Last column: nearest neighbours and their distance in Å.
Element x y z (fractional)
Ni: 0.4422 0.1157 0.7500  2 Ni 2.39
Ni: 0.5578 0.8843 0.2500  2 Ni 2.39
Ag: 0.8262 0.3477 0.2500  7 Ni 2.73-2.76, 6 Ag 2.74-2.94
Ag: 0.1738 0.6523 0.7500  7 Ni 2.73-2.76, 6 Ag 2.74-2.94



Entry 7:
A relaxed structure of NiAg. Source: Alexandria, functional PBE.

Properties
Total magnetization: 0.56 μB/f.u.
Calculated volume: 15.51 Å³/atom
Formation enthalpy at 0 K: 0.29 eV/atom

Lattice parameters (Å, degrees): 7.6137 7.6137 3.7072 90.00 90.00 120.00
Last column: nearest neighbours and their distance in Å.
Element x y z (fractional)
Ag: 0.3285 0.1643 0.2500  6 Ni 2.69-2.70, 4 Ag 2.85
Ag: 0.8357 0.1643 0.2500  6 Ni 2.69-2.70, 4 Ag 2.85
Ag: 0.1643 0.3285 0.7500  6 Ni 2.69-2.70, 4 Ag 2.85
Ag: 0.6715 0.8357 0.7500  6 Ni 2.69-2.70, 4 Ag 2.85
Ag: 0.1643 0.8357 0.7500  6 Ni 2.69-2.70, 4 Ag 2.85
Ag: 0.8357 0.6715 0.2500  6 Ni 2.69-2.70, 4 Ag 2.85
Ni: 0.1215 0.5607 0.2500  4 Ni 2.42-2.45, 6 Ag 2.69-2.70
Ni: 0.4393 0.5608 0.2500  4 Ni 2.42-2.45, 6 Ag 2.69-2.70
Ni: 0.8785 0.4393 0.7500  4 Ni 2.42-2.45, 6 Ag 2.69-2.70
Ni: 0.4392 0.8785 0.2500  4 Ni 2.42-2.45, 6 Ag 2.69-2.70
Ni: 0.5607 0.4392 0.7500  4 Ni 2.42-2.45, 6 Ag 2.69-2.70
Ni: 0.5608 0.1215 0.7500  4 Ni 2.42-2.45, 6 Ag 2.69-2.70



Entry 8:
A relaxed structure of NiAg. Source: Alexandria, functional PBE.

Properties
Total magnetization: 0.36 μB/f.u.
Calculated volume: 14.37 Å³/atom
Formation enthalpy at 0 K: 0.30 eV/atom

Lattice parameters (Å, degrees): 4.7322 4.7322 4.7322 131.93 131.93 70.33
Last column: nearest neighbours and their distance in Å.
Element x y z (fractional)
Ni: 0.2500 0.7500 0.5000  8 Ag 2.73, 4 Ni 2.73
Ni: 0.5000 0.5000 0.0000  8 Ag 2.73, 4 Ni 2.73
Ag: 0.0000 0.0000 0.0000  8 Ni 2.73, 4 Ag 2.73
Ag: 0.7500 0.2500 0.5000  8 Ni 2.73, 4 Ag 2.73